Material: H5PtRh
Method: DFT, GGA-PBE
State: optimized geometry

crystal system: triclinic
electronic total energy: -4.256 eV/atom

```
H5PtRh
1.0
2.763 -0.324 0.006
-0.785 5.194 0.355
0.136 0.776 8.263
H Pt Rh
10 2 2
Cartesian
-0.171 4.498 2.550
2.312 1.422 8.319
0.872 1.534 3.779
2.155 0.519 2.269
1.115 3.080 6.826
1.000 2.566 1.798
-0.040 5.127 6.355
1.243 4.111 4.845
-0.197 4.223 0.305
2.286 1.147 6.074
2.337 2.067 2.942
-0.222 3.579 5.682
1.218 4.385 1.470
0.897 1.261 7.154
```